The following is a PBE calculation of a relaxed structure of Cu5Ge3Se12, from Alexandria.

Unit cell a=13.2433 b=13.2433 c=13.2433 alpha=109.47 beta=109.47 gamma=109.47
Last column: nearest neighbours and their distance in Å.
Element x y z (fractional)
Se (0.8667, 0.2937, 0.4660)  2 Cu 2.34-2.49
Se (0.6333, 0.0340, 0.2063)  2 Cu 2.34-2.49
Cu (0.6250, 0.7500, 0.8750)  4 Se 2.34
Ge (0.1250, 0.8750, 0.7500)  8 Se 2.79-3.05
Se (0.5993, 0.6333, 0.4271)  2 Cu 2.34-2.49
Se (0.4660, 0.6723, 0.0993)  2 Cu 2.34-2.49
Se (0.8667, 0.5729, 0.9007)  2 Cu 2.34-2.49
Se (0.4271, 0.2937, 0.3277)  2 Cu 2.34-2.49
Ge (0.8750, 0.1250, 0.2500)  8 Se 2.79-3.05
Cu (0.0000, 0.5000, 0.5000)  6 Se 2.49
Se (0.1333, 0.4271, 0.0993)  2 Cu 2.34-2.49
Se (0.0729, 0.9007, 0.3667)  2 Cu 2.34-2.49
Se (0.8277, 0.9007, 0.0340)  2 Cu 2.34-2.49
Se (0.2937, 0.4271, 0.8277)  2 Cu 2.34-2.49
Se (0.0729, 0.1723, 0.2063)  2 Cu 2.34-2.49
Cu (0.2500, 0.8750, 0.1250)  4 Se 2.34
Ge (0.6250, 0.2500, 0.3750)  8 Se 2.79-3.05
Se (0.4007, 0.3667, 0.5729)  2 Cu 2.34-2.49
Se (0.1723, 0.0993, 0.9660)  2 Cu 2.34-2.49
Se (0.3667, 0.9660, 0.7937)  2 Cu 2.34-2.49
Se (0.0340, 0.4007, 0.8277)  2 Cu 2.34-2.49
Cu (0.5000, 0.5000, 0.5000)  6 Se 2.49
Se (0.6333, 0.5993, 0.9271)  2 Cu 2.34-2.49
Cu (0.7500, 0.6250, 0.3750)  4 Se 2.34
Se (0.3277, 0.5340, 0.4007)  2 Cu 2.34-2.49
Ge (0.3750, 0.7500, 0.6250)  8 Se 2.79-3.05
Cu (0.0000, 0.5000, 0.0000)  6 Se 2.49
Se (0.9007, 0.8277, 0.5340)  2 Cu 2.34-2.49
Se (0.2063, 0.5340, 0.6333)  2 Cu 2.34-2.49
Cu (0.1250, 0.3750, 0.2500)  4 Se 2.34
Se (0.7063, 0.1333, 0.0340)  2 Cu 2.34-2.49
Cu (0.3750, 0.1250, 0.7500)  4 Se 2.34
Cu (0.5000, 0.0000, 0.0000)  6 Se 2.49
Cu (0.2500, 0.3750, 0.6250)  4 Se 2.34
Cu (0.3750, 0.2500, 0.1250)  4 Se 2.34
Se (0.7063, 0.5729, 0.1723)  2 Cu 2.34-2.49
Se (0.5729, 0.8667, 0.4007)  2 Cu 2.34-2.49
Se (0.9007, 0.0729, 0.8667)  2 Cu 2.34-2.49
Ge (0.1250, 0.2500, 0.8750)  8 Se 2.79-3.05
Se (0.5993, 0.9660, 0.6723)  2 Cu 2.34-2.49
Cu (0.5000, 0.0000, 0.5000)  6 Se 2.49
Se (0.1723, 0.0729, 0.7063)  2 Cu 2.34-2.49
Se (0.4271, 0.1333, 0.5993)  2 Cu 2.34-2.49
Se (0.0340, 0.6333, 0.7063)  2 Cu 2.34-2.49
Cu (0.6250, 0.8750, 0.2500)  4 Se 2.34
Cu (0.7500, 0.1250, 0.8750)  4 Se 2.34
Se (0.2937, 0.8667, 0.9660)  2 Cu 2.34-2.49
Se (0.7937, 0.3277, 0.9271)  2 Cu 2.34-2.49
Se (0.6723, 0.2063, 0.5729)  2 Cu 2.34-2.49
Se (0.9660, 0.5993, 0.1723)  2 Cu 2.34-2.49
Se (0.0993, 0.1723, 0.4660)  2 Cu 2.34-2.49
Se (0.9271, 0.0993, 0.6333)  2 Cu 2.34-2.49
Se (0.2063, 0.6723, 0.0729)  2 Cu 2.34-2.49
Se (0.5340, 0.3277, 0.9007)  2 Cu 2.34-2.49
Se (0.8277, 0.9271, 0.2937)  2 Cu 2.34-2.49
Ge (0.2500, 0.6250, 0.8750)  8 Se 2.79-3.05
Se (0.3277, 0.7937, 0.4271)  2 Cu 2.34-2.49
Ge (0.7500, 0.3750, 0.1250)  8 Se 2.79-3.05
Se (0.7937, 0.4660, 0.3667)  2 Cu 2.34-2.49
Ge (0.3750, 0.6250, 0.2500)  8 Se 2.79-3.05
Se (0.3667, 0.4007, 0.0729)  2 Cu 2.34-2.49
Se (0.4007, 0.0340, 0.3277)  2 Cu 2.34-2.49
Se (0.9271, 0.8277, 0.7937)  2 Cu 2.34-2.49
Ge (0.7500, 0.8750, 0.6250)  8 Se 2.79-3.05
Se (0.4660, 0.7937, 0.8667)  2 Cu 2.34-2.49
Cu (0.5000, 0.5000, 0.0000)  6 Se 2.49
Se (0.6723, 0.4660, 0.5993)  2 Cu 2.34-2.49
Cu (0.8750, 0.6250, 0.7500)  4 Se 2.34
Se (0.9660, 0.3667, 0.2937)  2 Cu 2.34-2.49
Se (0.1333, 0.7063, 0.5340)  2 Cu 2.34-2.49
Cu (0.0000, 0.0000, 0.0000)  6 Se 2.49
Ge (0.2500, 0.1250, 0.3750)  8 Se 2.79-3.05
Se (0.5340, 0.2063, 0.1333)  2 Cu 2.34-2.49
Cu (0.1250, 0.7500, 0.3750)  4 Se 2.34
Ge (0.8750, 0.7500, 0.1250)  8 Se 2.79-3.05
Se (0.5729, 0.7063, 0.6723)  2 Cu 2.34-2.49
Ge (0.6250, 0.3750, 0.7500)  8 Se 2.79-3.05
Cu (0.8750, 0.2500, 0.6250)  4 Se 2.34
Se (0.0993, 0.9271, 0.1333)  2 Cu 2.34-2.49
Cu (0.0000, 0.0000, 0.5000)  6 Se 2.49

Values from the calculation:
Uncorrected energy (eV/atom): -3.712
N(E_F) (states/eV per atom): 0.99

=====

The following is a PBE calculation of a relaxed structure of CuGe6Se8, from Alexandria.

Unit cell a=7.6636 b=7.6636 c=7.6636 alpha=97.68 beta=97.68 gamma=97.68
Last column: nearest neighbours and their distance in Å.
Element x y z (fractional)
Se (0.8556, 0.3290, 0.6042)  2 Ge 2.50-2.59
Se (0.2000, 0.2000, 0.2000)  1 Cu 2.27
Ge (0.4768, 0.8379, 0.6243)  3 Se 2.50-2.73
Ge (0.3757, 0.5232, 0.1621)  3 Se 2.50-2.73
Se (0.6042, 0.8556, 0.3290)  2 Ge 2.50-2.59
Ge (0.1621, 0.3757, 0.5232)  3 Se 2.50-2.73
Se (0.8000, 0.8000, 0.8000)  1 Cu 2.27
Se (0.6710, 0.3958, 0.1444)  2 Ge 2.50-2.59
Se (0.1444, 0.6710, 0.3958)  2 Ge 2.50-2.59
Cu (0.0000, 0.0000, 0.0000)  2 Se 2.27
Se (0.3958, 0.1444, 0.6710)  2 Ge 2.50-2.59
Se (0.3290, 0.6042, 0.8556)  2 Ge 2.50-2.59
Ge (0.8379, 0.6243, 0.4768)  3 Se 2.50-2.73
Ge (0.5232, 0.1621, 0.3757)  3 Se 2.50-2.73
Ge (0.6243, 0.4768, 0.8379)  3 Se 2.50-2.73

Values from the calculation:
Uncorrected energy (eV/atom): -4.016
N(E_F) (states/eV per atom): 0.49

=====

The following is a PBE calculation of a relaxed structure of CuGeSe3, from Alexandria.

Unit cell a=4.7950 b=4.7950 c=4.7950 alpha=90.00 beta=90.00 gamma=90.00
Last column: nearest neighbours and their distance in Å.
Element x y z (fractional)
Cu (0.0000, 0.0000, 0.0000)  6 Se 2.40
Se (0.0000, 0.0000, 0.5000)  2 Cu 2.40
Ge (0.5000, 0.5000, 0.5000)  12 Se 3.39
Se (0.5000, 0.0000, 0.0000)  2 Cu 2.40
Se (0.0000, 0.5000, 0.0000)  2 Cu 2.40

Values from the calculation:
Uncorrected energy (eV/atom): -3.458
N(E_F) (states/eV per atom): 0.60

=====

The following is a PBE calculation of a relaxed structure of Cu3GeSe4, from Alexandria.

Unit cell a=5.5774 b=5.5774 c=6.8558 alpha=114.00 beta=114.00 gamma=90.00
Last column: nearest neighbours and their distance in Å.
Element x y z (fractional)
Se (0.1254, 0.6199, 0.7453)  3 Cu 2.40-2.42, 1 Ge 2.45
Se (0.3801, 0.3801, 0.2547)  3 Cu 2.40-2.42, 1 Ge 2.45
Cu (0.5000, 0.5000, 0.0000)  4 Se 2.42
Se (0.8746, 0.8746, 0.2547)  3 Cu 2.40-2.42, 1 Ge 2.45
Se (0.6199, 0.1254, 0.7453)  3 Cu 2.40-2.42, 1 Ge 2.45
Cu (0.2500, 0.7500, 0.5000)  4 Se 2.40
Cu (0.7500, 0.2500, 0.5000)  4 Se 2.40
Ge (0.0000, 0.0000, 0.0000)  4 Se 2.45

Values from the calculation:
Uncorrected energy (eV/atom): -4.114
N(E_F) (states/eV per atom): 0.58

=====

The following is a PBE calculation of a relaxed structure of Cu3Ge5Se12, from Alexandria.

Unit cell a=13.4743 b=13.4743 c=13.4743 alpha=109.47 beta=109.47 gamma=109.47
Last column: nearest neighbours and their distance in Å.
Element x y z (fractional)
Se (0.6772, 0.4550, 0.5887)  2 Ge 2.41-2.65
Se (0.4113, 0.0450, 0.3228)  2 Ge 2.41-2.65
Ge (0.5000, 0.5000, 0.0000)  6 Se 2.65
Ge (0.7500, 0.1250, 0.8750)  4 Se 2.41
Se (0.8662, 0.2778, 0.4550)  2 Ge 2.41-2.65
Se (0.4550, 0.6772, 0.0887)  2 Ge 2.41-2.65
Se (0.7222, 0.1338, 0.0450)  2 Ge 2.41-2.65
Se (0.2778, 0.4116, 0.8228)  2 Ge 2.41-2.65
Se (0.6772, 0.2222, 0.5884)  2 Ge 2.41-2.65
Cu (0.7500, 0.8750, 0.6250)  8 Se 2.91
Se (0.5450, 0.2222, 0.1338)  2 Ge 2.41-2.65
Ge (0.0000, 0.5000, 0.5000)  6 Se 2.65
Se (0.0450, 0.6338, 0.7222)  2 Ge 2.41-2.65
Se (0.4113, 0.3662, 0.5884)  2 Ge 2.41-2.65
Se (0.7222, 0.5884, 0.1772)  2 Ge 2.41-2.65
Cu (0.1250, 0.8750, 0.7500)  8 Se 2.91
Ge (0.2500, 0.8750, 0.1250)  4 Se 2.41
Se (0.4550, 0.7778, 0.8662)  2 Ge 2.41-2.65
Cu (0.6250, 0.3750, 0.7500)  8 Se 2.91
Se (0.7778, 0.4550, 0.3662)  2 Ge 2.41-2.65
Ge (0.8750, 0.6250, 0.7500)  4 Se 2.41
Se (0.4116, 0.2778, 0.3228)  2 Ge 2.41-2.65
Ge (0.6250, 0.8750, 0.2500)  4 Se 2.41
Se (0.5884, 0.8662, 0.4113)  2 Ge 2.41-2.65
Ge (0.1250, 0.7500, 0.3750)  4 Se 2.41
Se (0.2778, 0.8662, 0.9550)  2 Ge 2.41-2.65
Se (0.2222, 0.5450, 0.6338)  2 Ge 2.41-2.65
Se (0.3662, 0.9550, 0.7778)  2 Ge 2.41-2.65
Ge (0.3750, 0.2500, 0.1250)  4 Se 2.41
Se (0.3228, 0.5450, 0.4113)  2 Ge 2.41-2.65
Cu (0.8750, 0.1250, 0.2500)  8 Se 2.91
Ge (0.5000, 0.0000, 0.5000)  6 Se 2.65
Se (0.5450, 0.3228, 0.9113)  2 Ge 2.41-2.65
Ge (0.2500, 0.3750, 0.6250)  4 Se 2.41
Se (0.9550, 0.5887, 0.1772)  2 Ge 2.41-2.65
Ge (0.5000, 0.0000, 0.0000)  6 Se 2.65
Se (0.6338, 0.0450, 0.2222)  2 Ge 2.41-2.65
Se (0.0884, 0.9113, 0.3662)  2 Ge 2.41-2.65
Se (0.9116, 0.8228, 0.7778)  2 Ge 2.41-2.65
Cu (0.3750, 0.6250, 0.2500)  8 Se 2.91
Ge (0.3750, 0.1250, 0.7500)  4 Se 2.41
Se (0.8228, 0.9113, 0.0450)  2 Ge 2.41-2.65
Se (0.2222, 0.6772, 0.0884)  2 Ge 2.41-2.65
Cu (0.3750, 0.7500, 0.6250)  8 Se 2.91
Se (0.0884, 0.1772, 0.2222)  2 Ge 2.41-2.65
Se (0.3228, 0.7778, 0.4116)  2 Ge 2.41-2.65
Se (0.1772, 0.0884, 0.7222)  2 Ge 2.41-2.65
Se (0.8228, 0.9116, 0.2778)  2 Ge 2.41-2.65
Se (0.6338, 0.5887, 0.9116)  2 Ge 2.41-2.65
Ge (0.7500, 0.6250, 0.3750)  4 Se 2.41
Cu (0.2500, 0.1250, 0.3750)  8 Se 2.91
Ge (0.0000, 0.0000, 0.5000)  6 Se 2.65
Se (0.3662, 0.4113, 0.0884)  2 Ge 2.41-2.65
Ge (0.1250, 0.3750, 0.2500)  4 Se 2.41
Se (0.1338, 0.7222, 0.5450)  2 Ge 2.41-2.65
Se (0.1338, 0.4116, 0.0887)  2 Ge 2.41-2.65
Se (0.8662, 0.5884, 0.9113)  2 Ge 2.41-2.65
Ge (0.0000, 0.5000, 0.0000)  6 Se 2.65
Se (0.0887, 0.1772, 0.4550)  2 Ge 2.41-2.65
Se (0.7778, 0.3228, 0.9116)  2 Ge 2.41-2.65
Ge (0.8750, 0.2500, 0.6250)  4 Se 2.41
Se (0.9113, 0.8228, 0.5450)  2 Ge 2.41-2.65
Se (0.9116, 0.0887, 0.6338)  2 Ge 2.41-2.65
Se (0.5887, 0.6338, 0.4116)  2 Ge 2.41-2.65
Se (0.9113, 0.0884, 0.8662)  2 Ge 2.41-2.65
Cu (0.8750, 0.7500, 0.1250)  8 Se 2.91
Ge (0.5000, 0.5000, 0.5000)  6 Se 2.65
Se (0.0887, 0.9116, 0.1338)  2 Ge 2.41-2.65
Ge (0.0000, 0.0000, 0.0000)  6 Se 2.65
Cu (0.7500, 0.3750, 0.1250)  8 Se 2.91
Se (0.0450, 0.4113, 0.8228)  2 Ge 2.41-2.65
Se (0.4116, 0.1338, 0.5887)  2 Ge 2.41-2.65
Se (0.9550, 0.3662, 0.2778)  2 Ge 2.41-2.65
Se (0.5884, 0.7222, 0.6772)  2 Ge 2.41-2.65
Cu (0.2500, 0.6250, 0.8750)  8 Se 2.91
Cu (0.6250, 0.2500, 0.3750)  8 Se 2.91
Se (0.5887, 0.9550, 0.6772)  2 Ge 2.41-2.65
Se (0.1772, 0.0887, 0.9550)  2 Ge 2.41-2.65
Ge (0.6250, 0.7500, 0.8750)  4 Se 2.41
Cu (0.1250, 0.2500, 0.8750)  8 Se 2.91

Values from the calculation:
Uncorrected energy (eV/atom): -3.815
N(E_F) (states/eV per atom): 0.82

=====

The following is a PBE calculation of a relaxed structure of CuGeSe3, from Alexandria.

Unit cell a=3.6475 b=6.9264 c=11.4747 alpha=97.71 beta=90.00 gamma=90.00
Last column: nearest neighbours and their distance in Å.
Element x y z (fractional)
Cu (0.7500, 0.3321, 0.3350)  4 Se 2.41-2.42
Se (0.2500, 0.1097, 0.3518)  2 Cu 2.41, 1 Ge 2.42
Ge (0.7500, 0.1955, 0.7786)  4 Se 2.40-2.44
Cu (0.2500, 0.6679, 0.6650)  4 Se 2.41-2.42
Se (0.7500, 0.4356, 0.6418)  2 Cu 2.42, 1 Ge 2.44
Se (0.2500, 0.2352, 0.9152)  2 Ge 2.40
Se (0.7500, 0.7648, 0.0848)  2 Ge 2.40
Se (0.2500, 0.5644, 0.3582)  2 Cu 2.42, 1 Ge 2.44
Se (0.7500, 0.8903, 0.6482)  2 Cu 2.41, 1 Ge 2.42
Ge (0.2500, 0.8045, 0.2214)  4 Se 2.40-2.44

Values from the calculation:
Uncorrected energy (eV/atom): -4.001
N(E_F) (states/eV per atom): 0.26

=====

The following is a PBE calculation of a relaxed structure of CuGeSe3, from Alexandria.

Unit cell a=4.9869 b=4.9869 c=4.9869 alpha=90.00 beta=90.00 gamma=90.00
Last column: nearest neighbours and their distance in Å.
Element x y z (fractional)
Ge (0.0000, 0.0000, 0.0000)  6 Se 2.49
Se (0.5000, 0.0000, 0.0000)  2 Ge 2.49
Cu (0.5000, 0.5000, 0.5000)  12 Se 3.53
Se (0.0000, 0.5000, 0.0000)  2 Ge 2.49
Se (0.0000, 0.0000, 0.5000)  2 Ge 2.49

Values from the calculation:
Uncorrected energy (eV/atom): -3.159
N(E_F) (states/eV per atom): 0.84

=====

The following is a PBE calculation of a relaxed structure of CuGe2Se4, from Alexandria.

Unit cell a=5.6764 b=5.6764 c=5.4688 alpha=90.00 beta=90.00 gamma=90.00
Last column: nearest neighbours and their distance in Å.
Element x y z (fractional)
Se (0.7399, 0.2601, 0.7731)  1 Cu 2.43, 2 Ge 2.50
Se (0.2601, 0.7399, 0.7731)  1 Cu 2.43, 2 Ge 2.50
Ge (0.5000, 0.0000, 0.5000)  4 Se 2.50
Ge (0.0000, 0.5000, 0.5000)  4 Se 2.50
Se (0.7399, 0.7399, 0.2269)  1 Cu 2.43, 2 Ge 2.50
Cu (0.0000, 0.0000, 0.0000)  4 Se 2.43
Se (0.2601, 0.2601, 0.2269)  1 Cu 2.43, 2 Ge 2.50

Values from the calculation:
Uncorrected energy (eV/atom): -4.088
N(E_F) (states/eV per atom): 0.32

=====

The following is a PBE calculation of a relaxed structure of Cu2GeSe3, from Alexandria.

Unit cell a=6.8651 b=6.8651 c=6.8651 alpha=145.75 beta=131.97 gamma=60.31
Last column: nearest neighbours and their distance in Å.
Element x y z (fractional)
Se (0.6679, 0.6707, 0.9972)  3 Cu 2.41-2.43, 1 Ge 2.42
Ge (0.7335, 0.5000, 0.2335)  4 Se 2.42-2.54
Cu (0.4302, 0.1677, 0.2625)  4 Se 2.41-2.44
Cu (0.0949, 0.8323, 0.2625)  4 Se 2.41-2.44
Se (0.3265, 0.3293, 0.9972)  3 Cu 2.41-2.43, 1 Ge 2.42
Se (0.0090, 0.0000, 0.0090)  2 Cu 2.44, 2 Ge 2.54

Values from the calculation:
Energy above the most stable polymorph in this dataset (meV/atom): 0.0
N(E_F) (states/eV per atom): 0.18

=====

The following is a PBE calculation of a relaxed structure of CuGeSe3, from Alexandria.

Unit cell a=3.8001 b=6.3602 c=9.5711 alpha=90.00 beta=101.45 gamma=90.00
Last column: nearest neighbours and their distance in Å.
Element x y z (fractional)
Se (0.7695, 0.7231, 0.5390)  1 Cu 2.38
Ge (0.6586, 0.9965, 0.3172)  6 Se 2.53-2.74
Se (0.9074, 0.3102, 0.8149)  1 Cu 2.35, 2 Ge 2.56
Se (0.4259, 0.8057, 0.8518)  2 Cu 2.39, 1 Ge 2.53
Cu (0.8683, 0.9586, 0.7366)  4 Se 2.35-2.39
Cu (0.1317, 0.4586, 0.2634)  4 Se 2.35-2.39
Ge (0.3414, 0.4965, 0.6828)  6 Se 2.53-2.74
Se (0.5741, 0.3057, 0.1482)  2 Cu 2.39, 1 Ge 2.53
Se (0.0926, 0.8102, 0.1851)  1 Cu 2.35, 2 Ge 2.56
Se (0.2305, 0.2231, 0.4610)  1 Cu 2.38

Values from the calculation:
Uncorrected energy (eV/atom): -3.901
N(E_F) (states/eV per atom): 0.68

=====

The following is a PBE calculation of a relaxed structure of CuGeSe4, from Alexandria.

Unit cell a=7.3352 b=7.2685 c=7.7012 alpha=90.00 beta=90.00 gamma=111.94
Last column: nearest neighbours and their distance in Å.
Element x y z (fractional)
Se (0.0875, 0.5060, 0.1362)  1 Ge 2.41, 1 Se 2.44
Se (0.7285, 0.5886, 0.4979)  2 Cu 2.38-2.41, 1 Ge 2.48
Se (0.2715, 0.9114, 0.4979)  2 Cu 2.38-2.41, 1 Ge 2.48
Ge (0.0000, 0.2500, 0.7090)  4 Se 2.41-2.48
Se (0.7285, 0.0886, 0.5021)  2 Cu 2.38-2.41, 1 Ge 2.48
Ge (0.0000, 0.7500, 0.2910)  4 Se 2.41-2.48
Se (0.9125, 0.9940, 0.1362)  1 Ge 2.41, 1 Se 2.44
Cu (0.5000, 0.7500, 0.5199)  4 Se 2.38-2.41
Cu (0.5000, 0.2500, 0.4801)  4 Se 2.38-2.41
Se (0.2715, 0.4114, 0.5021)  2 Cu 2.38-2.41, 1 Ge 2.48
Se (0.9125, 0.4940, 0.8638)  1 Ge 2.41, 1 Se 2.44
Se (0.0875, 0.0060, 0.8638)  1 Ge 2.41, 1 Se 2.44

Values from the calculation:
Uncorrected energy (eV/atom): -3.853
N(E_F) (states/eV per atom): 0.30

=====

The following is a PBE calculation of a relaxed structure of Cu2GeSe3, from Alexandria.

Unit cell a=6.8925 b=6.8925 c=6.9197 alpha=80.51 beta=80.51 gamma=120.22
Last column: nearest neighbours and their distance in Å.
Element x y z (fractional)
Cu (0.0136, 0.1812, 0.9925)  4 Se 2.41-2.46
Cu (0.1812, 0.0136, 0.4925)  4 Se 2.41-2.46
Se (0.4618, 0.9633, 0.6246)  3 Cu 2.41-2.42, 1 Ge 2.42
Se (0.6325, 0.8048, 0.1214)  2 Cu 2.44-2.46, 2 Ge 2.52-2.54
Cu (0.3361, 0.8335, 0.9939)  4 Se 2.41-2.44
Se (0.8048, 0.6325, 0.6214)  2 Cu 2.44-2.46, 2 Ge 2.52-2.54
Se (0.2876, 0.1177, 0.1214)  3 Cu 2.41-2.43, 1 Ge 2.42
Se (0.9633, 0.4618, 0.1246)  3 Cu 2.41-2.42, 1 Ge 2.42
Ge (0.6624, 0.4885, 0.0105)  4 Se 2.42-2.54
Ge (0.4885, 0.6624, 0.5105)  4 Se 2.42-2.54
Cu (0.8335, 0.3361, 0.4939)  4 Se 2.41-2.44
Se (0.1177, 0.2876, 0.6214)  3 Cu 2.41-2.43, 1 Ge 2.42

Values from the calculation:
Energy above the most stable polymorph in this dataset (meV/atom): 1.3
N(E_F) (states/eV per atom): 0.06